! TiMnReRu PBE-GGA optimized geometry; values from VASP
! * total magnetic moment: 0.569 μB/atom
! * energy of formation: -0.206 eV/atom
&SYSTEM
  ibrav = 0, nat = 4, ntyp = 4
/
ATOMIC_SPECIES
Re 186.21 Re.upf
Mn 54.94 Mn.upf
Ti 47.87 Ti.upf
Ru 101.07 Ru.upf
ATOMIC_POSITIONS crystal
Re 0.0000 0.0000 0.0000
Mn 0.7500 0.7500 0.7500
Ti 0.2500 0.2500 0.2500
Ru 0.5000 0.5000 0.5000
CELL_PARAMETERS angstrom
4.3089 0.0000 0.0000
2.1545 3.7317 0.0000
2.1545 1.2439 3.5182

---

! Ba2La2Ge PBE-GGA optimized geometry; values from VASP
! * total magnetic moment: 0.319 μB/atom
! * energy of formation: -0.040 eV/atom
&SYSTEM
  ibrav = 0, nat = 10, ntyp = 3
/
ATOMIC_SPECIES
Ge 72.64 Ge.upf
Ba 137.33 Ba.upf
La 138.91 La.upf
ATOMIC_POSITIONS crystal
Ge 0.0000 0.0000 0.0000
Ge 0.5000 0.5000 0.0000
Ba 0.1724 0.6724 0.5000
Ba 0.6724 0.8276 0.5000
Ba 0.8276 0.3276 0.5000
Ba 0.3276 0.1724 0.5000
La 0.3505 0.8505 0.0000
La 0.8505 0.6495 0.0000
La 0.6495 0.1495 0.0000
La 0.1495 0.3505 0.0000
CELL_PARAMETERS angstrom
8.1881 0.0000 0.0000
0.0000 8.1881 0.0000
0.0000 0.0000 6.2235

---

! GeTeRu PBE-GGA optimized geometry; values from VASP
! * total magnetic moment: 0.000 μB/atom
! * final energy: -5.7839 eV/atom
&SYSTEM
  ibrav = 0, nat = 12, ntyp = 3
/
ATOMIC_SPECIES
Ge 72.64 Ge.upf
Te 127.60 Te.upf
Ru 101.07 Ru.upf
ATOMIC_POSITIONS crystal
Ge 0.0000 0.0935 0.2500
Ge 0.0000 0.9065 0.7500
Ge 0.5000 0.5935 0.2500
Ge 0.5000 0.4065 0.7500
Te 0.0000 0.3239 0.2500
Te 0.0000 0.6761 0.7500
Te 0.5000 0.8239 0.2500
Te 0.5000 0.1761 0.7500
Ru 0.0000 0.5000 0.0000
Ru 0.0000 0.5000 0.5000
Ru 0.5000 0.0000 0.0000
Ru 0.5000 0.0000 0.5000
CELL_PARAMETERS angstrom
3.1637 0.0000 0.0000
0.0000 12.3817 0.0000
0.0000 0.0000 6.2456

---

! MgOs PBE-GGA optimized geometry; values from VASP
! * total magnetic moment: 0.005 μB/atom
! * energy of formation: 0.268 eV/atom
&SYSTEM
  ibrav = 0, nat = 2, ntyp = 2
/
ATOMIC_SPECIES
Mg 24.30 Mg.upf
Os 190.23 Os.upf
ATOMIC_POSITIONS crystal
Mg 0.3333 0.6667 0.5000
Os 0.0000 0.0000 0.0000
CELL_PARAMETERS angstrom
-1.6687 0.7546 -2.1316
0.4795 -2.7210 0.5140
-3.5719 -0.1085 2.7578

---

! Li5Y3 PBE-GGA optimized geometry; values from VASP
! * total magnetic moment: 0.000 μB/atom
! * energy of formation: 0.303 eV/atom
&SYSTEM
  ibrav = 0, nat = 16, ntyp = 2
/
ATOMIC_SPECIES
Y 88.91 Y.upf
Li 6.94 Li.upf
ATOMIC_POSITIONS crystal
Y 0.6032 0.0000 0.2500
Y 0.3968 0.0000 0.7500
Y 0.0000 0.6032 0.2500
Y 0.3968 0.3968 0.2500
Y 0.6032 0.6032 0.7500
Y 0.0000 0.3968 0.7500
Li 0.3333 0.6667 0.0000
Li 0.6667 0.3333 0.5000
Li 0.6667 0.3333 0.0000
Li 0.3333 0.6667 0.5000
Li 0.2158 0.0000 0.2500
Li 0.7842 0.0000 0.7500
Li 0.0000 0.2158 0.2500
Li 0.7842 0.7842 0.2500
Li 0.2158 0.2158 0.7500
Li 0.0000 0.7842 0.7500
CELL_PARAMETERS angstrom
9.0337 0.0000 0.0000
-4.5169 7.8234 0.0000
0.0000 0.0000 5.7173

---

! Ba2CaInHg6 PBE-GGA optimized geometry; values from VASP
! * total magnetic moment: 0.000 μB/atom
! * energy of formation: -0.205 eV/atom
&SYSTEM
  ibrav = 0, nat = 10, ntyp = 4
/
ATOMIC_SPECIES
Ba 137.33 Ba.upf
Ca 40.08 Ca.upf
In 114.82 In.upf
Hg 200.59 Hg.upf
ATOMIC_POSITIONS crystal
Ba 0.2500 0.7500 0.5000
Ba 0.7500 0.2500 0.5000
Ca 0.5000 0.5000 0.0000
In 0.0000 0.0000 0.0000
Hg 0.2462 0.7538 0.0000
Hg 0.7538 0.7538 0.0000
Hg 0.2462 0.2462 0.5077
Hg 0.7538 0.2462 0.0000
Hg 0.2462 0.2462 0.0000
Hg 0.7538 0.7538 0.4923
CELL_PARAMETERS angstrom
8.0807 -0.0004 0.0000
0.0005 8.0807 0.0000
4.0406 4.0401 5.7140